1.
Compound: K2PH3SeO8
Source: Alexandria via LeMat-Bulk
Functional: GGA-PBE
Structure: optimized geometry

Symmetry: Pc (7)
E in eV/atom: -5.5667
Volume in Å³ per cell: 427.3

Structure (CIF):
```
data_K2PH3SeO8
_chemical_formula_sum 'K4 P2 H6 Se2 O16'
_space_group_name_H-M_alt 'P 1'
_space_group_IT_number 1
_cell_length_a 7.613
_cell_length_b 7.396
_cell_length_c 9.778
_cell_angle_alpha 50.91
_cell_angle_beta 90.00
_cell_angle_gamma 90.00
loop_
_space_group_symop_operation_xyz
'x,y,z'
loop_
_atom_site_label
_atom_site_fract_x
_atom_site_fract_y
_atom_site_fract_z
_atom_site_occupancy
P1 0.539 0.233 0.458 1
P2 0.461 0.233 0.958 1
O1 0.590 0.039 0.038 1
O2 0.460 0.484 0.314 1
O3 0.378 0.232 0.108 1
O4 0.622 0.232 0.608 1
O5 0.540 0.484 0.814 1
O6 0.787 0.575 0.063 1
O7 0.301 0.211 0.866 1
O8 0.047 0.275 0.120 1
O9 0.868 0.541 0.807 1
O10 0.953 0.275 0.620 1
O11 0.097 0.751 0.882 1
O12 0.213 0.575 0.563 1
O13 0.410 0.039 0.538 1
O14 0.132 0.541 0.307 1
O15 0.903 0.751 0.382 1
O16 0.699 0.211 0.366 1
H1 0.677 0.498 0.820 1
H2 0.265 0.361 0.741 1
H3 0.735 0.361 0.241 1
H4 0.245 0.262 0.102 1
H5 0.323 0.498 0.320 1
H6 0.755 0.262 0.602 1
K1 0.057 0.998 0.504 1
K2 0.546 0.791 0.415 1
K3 0.943 0.998 0.004 1
K4 0.454 0.791 0.915 1
Se1 0.953 0.537 0.969 1
Se2 0.047 0.537 0.469 1
```

---

2.
Compound: AcTmInRu
Source: Alexandria via LeMat-Bulk
Functional: GGA-PBE
Structure: optimized geometry

Symmetry: F-43m (216)
Volume in Å³ per cell: 103.4
Calculated formation energy in meV per atom: -134

Structure (CIF):
```
data_AcTmInRu
_chemical_formula_sum 'Ac1 Tm1 In1 Ru1'
_space_group_name_H-M_alt 'P 1'
_space_group_IT_number 1
_cell_length_a 5.268
_cell_length_b 5.268
_cell_length_c 5.268
_cell_angle_alpha 60.00
_cell_angle_beta 60.00
_cell_angle_gamma 60.00
loop_
_space_group_symop_operation_xyz
'x,y,z'
loop_
_atom_site_label
_atom_site_fract_x
_atom_site_fract_y
_atom_site_fract_z
_atom_site_occupancy
Ac1 0.000 0.000 0.000 1
In1 0.250 0.250 0.250 1
Tm1 0.500 0.500 0.500 1
Ru1 0.750 0.750 0.750 1
```

---

3.
Compound: Nd6Hg3TeSe2
Source: Alexandria via LeMat-Bulk
Functional: GGA-PBE
Structure: optimized geometry

Symmetry: C2/m (12)
Volume in Å³ per cell: 359.9
ΔE_f (raw) in eV/atom: -1.051

Structure (CIF):
```
data_Nd6Hg3TeSe2
_chemical_formula_sum 'Nd6 Hg3 Te1 Se2'
_space_group_name_H-M_alt 'P 1'
_space_group_IT_number 1
_cell_length_a 4.227
_cell_length_b 9.157
_cell_length_c 10.061
_cell_angle_alpha 108.58
_cell_angle_beta 102.13
_cell_angle_gamma 90.00
loop_
_space_group_symop_operation_xyz
'x,y,z'
loop_
_atom_site_label
_atom_site_fract_x
_atom_site_fract_y
_atom_site_fract_z
_atom_site_occupancy
Nd1 0.992 0.746 0.983 1
Nd2 0.668 0.097 0.337 1
Nd3 0.332 0.903 0.663 1
Nd4 0.008 0.254 0.017 1
Nd5 0.671 0.566 0.343 1
Nd6 0.329 0.434 0.657 1
Hg1 0.839 0.175 0.677 1
Hg2 0.161 0.825 0.323 1
Hg3 0.500 0.500 0.000 1
Se1 0.831 0.669 0.663 1
Se2 0.169 0.331 0.337 1
Te1 0.500 0.000 0.000 1
```

---

4.
Compound: MnIrRh2
Source: Alexandria via LeMat-Bulk
Functional: GGA-PBE
Structure: optimized geometry

Symmetry: I-42d (122)
Volume in Å³ per cell: 156.1
Calculated formation energy in meV per atom: 1026

Structure (CIF):
```
data_MnIrRh2
_chemical_formula_sum 'Mn2 Ir2 Rh4'
_space_group_name_H-M_alt 'P 1'
_space_group_IT_number 1
_cell_length_a 5.372
_cell_length_b 5.372
_cell_length_c 6.609
_cell_angle_alpha 66.02
_cell_angle_beta 66.02
_cell_angle_gamma 90.00
loop_
_space_group_symop_operation_xyz
'x,y,z'
loop_
_atom_site_label
_atom_site_fract_x
_atom_site_fract_y
_atom_site_fract_z
_atom_site_occupancy
Mn1 0.500 0.500 0.000 1
Mn2 0.250 0.750 0.500 1
Ir1 0.750 0.250 0.500 1
Ir2 0.000 0.000 0.000 1
Rh1 0.151 0.625 0.250 1
Rh2 0.599 0.125 0.250 1
Rh3 0.875 0.849 0.750 1
Rh4 0.375 0.401 0.750 1
```

---

5.
Compound: KHgGePb
Source: Alexandria via LeMat-Bulk
Functional: GGA-PBE
Structure: optimized geometry

Symmetry: F-43m (216)
Volume in Å³ per cell: 114.3
Calculated formation energy in meV per atom: 53

Structure (CIF):
```
data_KHgGePb
_chemical_formula_sum 'K1 Hg1 Ge1 Pb1'
_space_group_name_H-M_alt 'P 1'
_space_group_IT_number 1
_cell_length_a 5.448
_cell_length_b 5.448
_cell_length_c 5.448
_cell_angle_alpha 60.00
_cell_angle_beta 60.00
_cell_angle_gamma 60.00
loop_
_space_group_symop_operation_xyz
'x,y,z'
loop_
_atom_site_label
_atom_site_fract_x
_atom_site_fract_y
_atom_site_fract_z
_atom_site_occupancy
K1 0.250 0.250 0.250 1
Hg1 0.500 0.500 0.500 1
Pb1 0.750 0.750 0.750 1
Ge1 0.000 0.000 0.000 1
```

---

6.
Compound: BaYMo
Source: Alexandria via LeMat-Bulk
Functional: GGA-PBE
Structure: optimized geometry

Symmetry: F-43m (216)
Volume in Å³ per cell: 98.2
Calculated formation energy in meV per atom: 1697
Offset from the most stable computed form in eV per atom: 0.9576

Structure (CIF):
```
data_BaYMo
_chemical_formula_sum 'Ba1 Y1 Mo1'
_space_group_name_H-M_alt 'P 1'
_space_group_IT_number 1
_cell_length_a 5.178
_cell_length_b 5.178
_cell_length_c 5.178
_cell_angle_alpha 60.00
_cell_angle_beta 60.00
_cell_angle_gamma 60.00
loop_
_space_group_symop_operation_xyz
'x,y,z'
loop_
_atom_site_label
_atom_site_fract_x
_atom_site_fract_y
_atom_site_fract_z
_atom_site_occupancy
Ba1 0.750 0.750 0.750 1
Mo1 0.000 0.000 0.000 1
Y1 0.500 0.500 0.500 1
```

---

7.
Compound: MnCo2Cu
Source: Alexandria via LeMat-Bulk
Functional: GGA-PBE
Structure: optimized geometry

Symmetry: Pm (6)
Volume in Å³ per cell: 47.1
Calculated formation energy in meV per atom: 121

Structure (CIF):
```
data_MnCo2Cu
_chemical_formula_sum 'Mn1 Co2 Cu1'
_space_group_name_H-M_alt 'P 1'
_space_group_IT_number 1
_cell_length_a 3.513
_cell_length_b 2.608
_cell_length_c 5.755
_cell_angle_alpha 63.29
_cell_angle_beta 90.00
_cell_angle_gamma 90.00
loop_
_space_group_symop_operation_xyz
'x,y,z'
loop_
_atom_site_label
_atom_site_fract_x
_atom_site_fract_y
_atom_site_fract_z
_atom_site_occupancy
Co1 0.500 0.264 0.235 1
Co2 0.000 0.986 0.014 1
Mn1 0.500 0.747 0.754 1
Cu1 0.000 0.503 0.496 1
```

---

8.
Compound: Ta2Ti3Sn2
Source: Alexandria via LeMat-Bulk
Functional: GGA-PBE
Structure: optimized geometry

Symmetry: Cmmm (65)
Volume in Å³ per cell: 131.0
Calculated formation energy in meV per atom: 113

Structure (CIF):
```
data_Ta2Ti3Sn2
_chemical_formula_sum 'Ta2 Ti3 Sn2'
_space_group_name_H-M_alt 'P 1'
_space_group_IT_number 1
_cell_length_a 2.857
_cell_length_b 4.782
_cell_length_c 9.883
_cell_angle_alpha 104.01
_cell_angle_beta 90.00
_cell_angle_gamma 90.00
loop_
_space_group_symop_operation_xyz
'x,y,z'
loop_
_atom_site_label
_atom_site_fract_x
_atom_site_fract_y
_atom_site_fract_z
_atom_site_occupancy
Ta1 0.000 0.573 0.146 1
Ta2 0.000 0.427 0.854 1
Ti1 0.000 0.000 0.000 1
Ti2 0.000 0.716 0.433 1
Ti3 0.000 0.284 0.567 1
Sn1 0.500 0.144 0.288 1
Sn2 0.500 0.856 0.712 1
```